# Cs2Nb3VO12 (PBE with a Hubbard U, optimized geometry)
data_Cs2Nb3VO12
_chemical_formula_sum 'Cs2 Nb3 V1 O12'
_cell_length_a 7.402
_cell_length_b 7.402
_cell_length_c 7.402
_cell_angle_alpha 61.01
_cell_angle_beta 61.01
_cell_angle_gamma 61.01
_space_group_name_H-M_alt 'P 1'
_space_group_IT_number 1
loop_
_space_group_symop_operation_xyz
'x,y,z'
loop_
_atom_site_label
_atom_site_fract_x
_atom_site_fract_y
_atom_site_fract_z
Cs1 0.373 0.373 0.373
Cs2 0.627 0.627 0.627
O1 0.057 0.057 0.704
O2 0.059 0.684 0.684
O3 0.943 0.943 0.296
O4 0.316 0.941 0.316
O5 0.316 0.316 0.941
O6 0.057 0.704 0.057
O7 0.296 0.943 0.943
O8 0.704 0.057 0.057
O9 0.943 0.296 0.943
O10 0.684 0.684 0.059
O11 0.684 0.059 0.684
O12 0.941 0.316 0.316
V1 0.000 0.000 0.000
Nb1 0.500 0.000 0.000
Nb2 0.000 0.000 0.500
Nb3 0.000 0.500 0.000
# Total DFT energy (no corrections), eV/cell: -137.00
# SG: R-3m, No. 166